(1)
Material: NdSn2IrAu
Method: DFT, PBE
State: relaxed

Computed properties:
DFT total energy: -55.7 eV/cell
spin magnetization: 0.003 μB per atom
crystal system: tetragonal

Cell: 4.6189 4.6189 10.8223 Å, 90.00 90.00 90.00°
Last column: nearest neighbours and their distance in Å.
Atoms (fractional coordinates):
Au (0.0000, 0.0000, 0.0000)  4 Sn 2.77
Au (0.5000, 0.5000, 0.0000)  4 Sn 2.77
Ir (0.5000, 0.0000, 0.3778)  5 Sn 2.55-2.66
Ir (0.0000, 0.5000, 0.6222)  5 Sn 2.55-2.66
Nd (0.0000, 0.5000, 0.2565)  8 Sn 3.49-3.50, 4 Ir 3.52, 4 Au 3.61
Nd (0.5000, 0.0000, 0.7435)  8 Sn 3.49-3.50, 4 Ir 3.52, 4 Au 3.61
Sn (0.5000, 0.0000, 0.1418)  1 Ir 2.55, 4 Au 2.77
Sn (0.0000, 0.0000, 0.5000)  4 Ir 2.66
Sn (0.5000, 0.5000, 0.5000)  4 Ir 2.66
Sn (0.0000, 0.5000, 0.8582)  1 Ir 2.55, 4 Au 2.77


(2)
Material: Zr3Zn3NiIrAu
Method: DFT, PBE
State: relaxed

Computed properties:
E_form: -0.539 eV per atom
spin magnetization: 0.000 μB per atom
crystal system: hexagonal

Cell: 7.2247 7.2247 3.4267 Å, 90.00 90.00 120.00°
Last column: nearest neighbours and their distance in Å.
Atoms (fractional coordinates):
Au (0.0000, 0.0000, 0.0000)  6 Zn 2.63, 3 Zr 2.94
Ir (0.3333, 0.6667, 0.5000)  3 Zn 2.69, 6 Zr 2.78
Ni (0.6667, 0.3333, 0.5000)  3 Zn 2.59, 6 Zr 2.78
Zn (0.7286, 0.0102, 0.5000)  1 Ni 2.59, 2 Au 2.63, 1 Ir 2.69, 2 Zr 2.85
Zn (0.2816, 0.2714, 0.5000)  1 Ni 2.59, 2 Au 2.63, 1 Ir 2.69, 2 Zr 2.85
Zn (0.9898, 0.7184, 0.5000)  1 Ni 2.59, 2 Au 2.63, 1 Ir 2.69, 2 Zr 2.85
Zr (0.0007, 0.4079, 0.0000)  2 Ir 2.78, 2 Ni 2.78, 4 Zn 2.85-3.07, 1 Au 2.94
Zr (0.5921, 0.5928, 0.0000)  2 Ir 2.78, 2 Ni 2.78, 4 Zn 2.85-3.07, 1 Au 2.94
Zr (0.4072, 0.9993, 0.0000)  2 Ir 2.78, 2 Ni 2.78, 4 Zn 2.85-3.07, 1 Au 2.94


(3)
Material: NpIrAu
Method: DFT, PBE
State: relaxed

Computed properties:
E_form: -0.027 eV per atom
spin magnetization: 1.131 μB per atom
crystal system: cubic

Cell: 4.5976 4.5976 4.5976 Å, 60.00 60.00 60.00°
Last column: nearest neighbours and their distance in Å.
Atoms (fractional coordinates):
Au (0.7500, 0.7500, 0.7500)  4 Ir 2.82
Ir (0.0000, 0.0000, 0.0000)  4 Au 2.82, 4 Np 2.82
Np (0.2500, 0.2500, 0.2500)  4 Ir 2.82


(4)
Material: Ir2AuO4
Method: DFT, PBE
State: relaxed

Computed properties:
DFT total energy: -84.9 eV/cell
spin magnetization: 0.143 μB per atom
crystal system: cubic

Cell: 6.3383 6.3383 6.3383 Å, 119.99 90.02 119.99°
Last column: nearest neighbours and their distance in Å.
Atoms (fractional coordinates):
Au (0.0000, 0.0000, 0.0000)  4 O 2.29
Au (0.7500, 0.5000, 0.2500)  4 O 2.29
Ir (0.3750, 0.7500, 0.1250)  6 O 2.06
Ir (0.3750, 0.7500, 0.6250)  6 O 2.06
Ir (0.3750, 0.2500, 0.6250)  6 O 2.06
Ir (0.8750, 0.2500, 0.6250)  6 O 2.06
O (0.1934, 0.7956, 0.3977)  3 Ir 2.06, 1 Au 2.29
O (0.6021, 0.2044, 0.3977)  3 Ir 2.06, 1 Au 2.29
O (0.6023, 0.7956, 0.3979)  3 Ir 2.06, 1 Au 2.29
O (0.1477, 0.2957, 0.4434)  3 Ir 2.06, 1 Au 2.29
O (0.6023, 0.2044, 0.8066)  3 Ir 2.06, 1 Au 2.29
O (0.1477, 0.7044, 0.8521)  3 Ir 2.06, 1 Au 2.29
O (0.5566, 0.7044, 0.8523)  3 Ir 2.06, 1 Au 2.29
O (0.1479, 0.2957, 0.8523)  3 Ir 2.06, 1 Au 2.29


(5)
Material: RbIrAuO3
Method: DFT, PBE
State: relaxed

Computed properties:
DFT total energy: -129.4 eV/cell
spin magnetization: 0.109 μB per atom
crystal system: orthorhombic

Cell: 10.6888 3.2324 11.7126 Å, 90.00 90.00 90.00°
Last column: nearest neighbours and their distance in Å.
Atoms (fractional coordinates):
Au (0.5888, 0.5000, 0.0251)  2 O 2.16
Au (0.0888, 0.0000, 0.4749)  2 O 2.16
Au (0.9112, 0.5000, 0.5251)  2 O 2.16
Au (0.4112, 0.0000, 0.9749)  2 O 2.16
Ir (0.1232, 0.5000, 0.0273)  6 O 1.97-2.09
Ir (0.6232, 0.0000, 0.4727)  6 O 1.97-2.09
Ir (0.3768, 0.5000, 0.5273)  6 O 1.97-2.09
Ir (0.8768, 0.0000, 0.9727)  6 O 1.97-2.09
O (0.7178, 0.0000, 0.0579)  1 Ir 1.97, 2 Au 2.16
O (0.9383, 0.5000, 0.0709)  3 Ir 2.04-2.09
O (0.1699, 0.0000, 0.1210)  2 Ir 2.02
O (0.6699, 0.5000, 0.3790)  2 Ir 2.02
O (0.4383, 0.0000, 0.4291)  3 Ir 2.04-2.09
O (0.2178, 0.5000, 0.4421)  1 Ir 1.97, 2 Au 2.16
O (0.7822, 0.0000, 0.5579)  1 Ir 1.97, 2 Au 2.16
O (0.5617, 0.5000, 0.5709)  3 Ir 2.04-2.09
O (0.3301, 0.0000, 0.6210)  2 Ir 2.02
O (0.8301, 0.5000, 0.8790)  2 Ir 2.02
O (0.0617, 0.0000, 0.9291)  3 Ir 2.04-2.09
O (0.2822, 0.5000, 0.9421)  1 Ir 1.97, 2 Au 2.16
Rb (0.3505, 0.5000, 0.2387)  5 O 2.77-2.91
Rb (0.8506, 0.0000, 0.2613)  5 O 2.77-2.91
Rb (0.1494, 0.5000, 0.7387)  5 O 2.77-2.91
Rb (0.6494, 0.0000, 0.7613)  5 O 2.77-2.91


(6)
Material: IrAuSO
Method: DFT, PBE
State: relaxed

Computed properties:
spin magnetization: 0.000 μB per atom
crystal system: triclinic
E above lowest polymorph: 49.3 meV per atom

Cell: 11.2037 5.4797 5.8293 Å, 61.01 68.97 84.88°
Last column: nearest neighbours and their distance in Å.
Atoms (fractional coordinates):
Au (0.0111, 0.7484, 0.4845)  6 Au 2.74-2.94, 1 O 2.80
Au (0.9905, 0.2422, 0.5002)  6 Au 2.74-2.94, 1 O 2.91
Au (0.0055, 0.2456, 0.9918)  6 Au 2.73-2.94, 1 O 2.88
Au (0.9948, 0.7445, 0.9936)  6 Au 2.73-2.94, 1 O 2.94
Ir (0.3818, 0.5785, 0.1272)  1 O 1.79
Ir (0.5083, 0.2497, 0.4631)  1 O 2.15, 3 S 2.27-2.36
Ir (0.4913, 0.7536, 0.5419)  1 O 2.15, 3 S 2.27-2.36
Ir (0.6183, 0.4243, 0.8775)  1 O 1.79
O (0.2375, 0.7301, 0.0833)  1 Ir 1.79
O (0.3121, 0.8920, 0.4922)  1 S 1.58
O (0.6877, 0.1118, 0.5123)  1 S 1.58
O (0.7618, 0.2728, 0.9222)  1 Ir 1.79
S (0.5662, 0.7286, 0.1242)  3 Ir 2.28-2.36
S (0.6998, 0.8483, 0.4662)  1 O 1.58
S (0.2999, 0.1552, 0.5389)  1 O 1.58
S (0.4335, 0.2745, 0.8808)  3 Ir 2.28-2.36


(7)
Material: IrAuSO
Method: DFT, PBE
State: relaxed

Computed properties:
spin magnetization: 0.000 μB per atom
crystal system: orthorhombic
E above lowest polymorph: 0.7 meV per atom

Cell: 5.9010 7.0410 5.6815 Å, 90.00 90.00 90.00°
Last column: nearest neighbours and their distance in Å.
Atoms (fractional coordinates):
Au (0.1752, 0.1633, 0.4058)  2 O 2.17-2.37, 1 S 2.43
Au (0.6752, 0.8367, 0.4058)  2 O 2.17-2.37, 1 S 2.43
Au (0.3248, 0.1633, 0.9058)  2 O 2.17-2.37, 1 S 2.43
Au (0.8248, 0.8367, 0.9058)  2 O 2.17-2.37, 1 S 2.43
Ir (0.6024, 0.3063, 0.4673)  1 O 2.07, 2 S 2.27-2.28
Ir (0.1024, 0.6937, 0.4673)  1 O 2.07, 2 S 2.27-2.28
Ir (0.8976, 0.3063, 0.9673)  1 O 2.07, 2 S 2.27-2.28
Ir (0.3976, 0.6937, 0.9673)  1 O 2.07, 2 S 2.27-2.28
O (0.7960, 0.1109, 0.2838)  1 Ir 2.07, 1 Au 2.17
O (0.2960, 0.8891, 0.2838)  1 Ir 2.07, 1 Au 2.17
O (0.7040, 0.1109, 0.7838)  1 Ir 2.07, 1 Au 2.17
O (0.2040, 0.8891, 0.7838)  1 Ir 2.07, 1 Au 2.17
S (0.5443, 0.4126, 0.0930)  3 Ir 2.27-2.33, 1 Au 2.43
S (0.0443, 0.5874, 0.0930)  3 Ir 2.27-2.33, 1 Au 2.43
S (0.9557, 0.4126, 0.5930)  3 Ir 2.27-2.33, 1 Au 2.43
S (0.4557, 0.5874, 0.5930)  3 Ir 2.27-2.33, 1 Au 2.43


(8)
Material: IrAuSO
Method: DFT, PBE
State: relaxed

Computed properties:
spin magnetization: 0.002 μB per atom
crystal system: tetragonal
E above lowest polymorph: 599.9 meV per atom

Cell: 3.6439 3.6439 9.0104 Å, 90.00 90.00 90.00°
Last column: nearest neighbours and their distance in Å.
Atoms (fractional coordinates):
Au (0.7500, 0.2500, 0.5000)  4 Au 2.58, 4 S 2.86
Au (0.2500, 0.7500, 0.5000)  4 Au 2.58, 4 S 2.86
Ir (0.2500, 0.2500, 0.1335)  4 O 2.18
Ir (0.7500, 0.7500, 0.8665)  4 O 2.18
O (0.7500, 0.2500, 0.0000)  4 Ir 2.18
O (0.2500, 0.7500, 0.0000)  4 Ir 2.18
S (0.7500, 0.7500, 0.2557)  4 Ir 2.80, 4 Au 2.86, 4 O 2.94
S (0.2500, 0.2500, 0.7443)  4 Ir 2.80, 4 Au 2.86, 4 O 2.94